KLiS2 | GGA-PBE | optimized geometry

Structure (POSCAR):
```
KLiS2
1.0
2.406 -2.542 3.563
-1.899 -0.238 4.614
-1.885 -4.299 1.706
K S Li
1 2 1
direct
0.500 0.500 0.500
0.250 0.250 0.250
0.750 0.750 0.750
0.000 0.000 0.000
```

Summary:
Volume, Å³/cell: 88.1
ΔE to the lowest computed polymorph, meV per atom: 517
Fermi-level density of states, states/eV/f.u.: 3.13
Size of the total moment, μB per atom: 0.37
Raw formation energy, meV/atom: -349
Electronic total energy, eV per formula unit: -12.7

***

KLiS2 | GGA-PBE | optimized geometry

Structure (POSCAR):
```
KLiS2
1.0
5.122 3.251 7.109
4.779 -0.527 8.014
7.527 0.634 5.503
K S Li
1 2 1
direct
0.500 0.500 0.500
0.916 0.916 0.916
0.084 0.084 0.084
0.000 0.000 0.000
```

Summary:
Volume, Å³/cell: 119.5
ΔE to the lowest computed polymorph, meV per atom: 627
Fermi-level density of states, states/eV/f.u.: 1.40
Size of the total moment, μB per atom: 0.50
Raw formation energy, meV/atom: -239
Electronic total energy, eV per formula unit: -12.2

***

K5Li4S4 | GGA-PBE | optimized geometry

Structure (POSCAR):
```
K5Li4S4
1.0
-1.731 -2.561 -3.087
-0.188 -8.038 3.684
-8.705 0.312 1.532
K Li S
5 4 4
direct
0.704 0.930 0.661
0.296 0.070 0.339
0.000 0.000 0.000
0.634 0.661 0.070
0.366 0.339 0.930
0.891 0.543 0.675
0.566 0.325 0.543
0.109 0.457 0.325
0.434 0.675 0.457
0.702 0.342 0.254
0.298 0.658 0.746
0.956 0.746 0.342
0.044 0.254 0.658
```

Summary:
Volume, Å³/cell: 320.9
Fermi-level density of states, states/eV/f.u.: 1.32
Size of the total moment, μB per atom: 0.01
Raw formation energy, meV/atom: -1020
Electronic total energy, eV per formula unit: -42.9

***

KLiS4 | GGA-PBE | optimized geometry

Structure (POSCAR):
```
KLiS4
1.0
5.362 0.000 -1.481
-0.409 5.346 -1.481
0.002 0.002 10.456
K Li S
2 2 8
direct
0.875 0.625 0.250
0.125 0.375 0.750
0.375 0.125 0.250
0.625 0.875 0.750
0.281 0.711 0.062
0.281 0.352 0.062
0.852 0.781 0.562
0.211 0.781 0.562
0.719 0.289 0.938
0.719 0.648 0.938
0.148 0.219 0.438
0.789 0.219 0.438
```

Summary:
Volume, Å³/cell: 299.7
Fermi-level density of states, states/eV/f.u.: 0.37
Size of the total moment, μB per atom: 0.00
Raw formation energy, meV/atom: -527
Electronic total energy, eV per formula unit: -22.7

***

KLi3S2 | GGA-PBE | optimized geometry

Structure (POSCAR):
```
KLi3S2
1.0
-2.118 1.053 -3.372
-5.296 -4.495 4.439
0.734 8.067 2.059
K Li S
2 6 4
direct
0.870 0.741 0.946
0.130 0.259 0.054
0.315 0.630 0.547
0.945 0.889 0.611
0.607 0.213 0.653
0.393 0.787 0.347
0.055 0.111 0.389
0.685 0.370 0.453
0.486 0.972 0.743
0.514 0.028 0.257
0.800 0.600 0.341
0.200 0.400 0.659
```

Summary:
Volume, Å³/cell: 243.3
Fermi-level density of states, states/eV/f.u.: 0.00
Size of the total moment, μB per atom: 0.00
Raw formation energy, meV/atom: -1226
Electronic total energy, eV per formula unit: -22.4

***

KLiS5 | GGA-PBE | optimized geometry

Structure (POSCAR):
```
KLiS5
1.0
8.144 -0.884 3.420
-3.371 4.211 -0.305
11.022 4.207 17.460
K Li S
2 2 10
direct
0.538 0.604 0.300
0.462 0.396 0.700
0.000 0.000 0.000
0.500 0.500 0.500
0.973 0.413 0.084
0.547 0.969 0.561
0.064 0.475 0.585
0.244 0.208 0.219
0.513 0.931 0.889
0.487 0.069 0.111
0.756 0.792 0.781
0.936 0.525 0.415
0.453 0.031 0.439
0.027 0.587 0.916
```

Summary:
Volume, Å³/cell: 352.9
Fermi-level density of states, states/eV/f.u.: 0.88
Size of the total moment, μB per atom: 0.00
Raw formation energy, meV/atom: -504
Electronic total energy, eV per formula unit: -27.2